[1]
# KBaO3 | the Alexandria database | GGA-PBE | optimized geometry
data_KBaO3
_cell_length_a 4.5914
_cell_length_b 4.5914
_cell_length_c 4.5914
_cell_angle_alpha 90.00
_cell_angle_beta 90.00
_cell_angle_gamma 90.00
_space_group_name_H-M_alt 'P 1'
_space_group_IT_number 1
loop_
_space_group_symop_operation_xyz
'x,y,z'
loop_
_atom_site_label
_atom_site_fract_x
_atom_site_fract_y
_atom_site_fract_z
_atom_site_occupancy
K1 0.0000 0.0000 0.0000 1
Ba1 0.5000 0.5000 0.5000 1
O1 0.0000 0.5000 0.5000 1
O2 0.5000 0.0000 0.5000 1
O3 0.5000 0.5000 0.0000 1
# - Space group: No. 221
# - Total magnetization: 0.098 μB/atom
# - Uncorrected formation energy: -0.748 eV per atom
# - V: 19.359 Å³ per atom
# - Electronic total energy: -21.6 eV for the cell shown
# - Mass density: 3.9 g/cm3
# - DOS(E_F): 5.07 states/eV/cell



[2]
# KBaO2 | the Alexandria database | GGA-PBE | optimized geometry
data_KBaO2
_cell_length_a 7.4337
_cell_length_b 7.4337
_cell_length_c 7.4337
_cell_angle_alpha 132.31
_cell_angle_beta 132.31
_cell_angle_gamma 69.73
_space_group_name_H-M_alt 'P 1'
_space_group_IT_number 1
loop_
_space_group_symop_operation_xyz
'x,y,z'
loop_
_atom_site_label
_atom_site_fract_x
_atom_site_fract_y
_atom_site_fract_z
_atom_site_occupancy
K1 0.0000 0.0000 0.0000 1
K2 0.7500 0.2500 0.5000 1
Ba1 0.2500 0.7500 0.5000 1
Ba2 0.5000 0.5000 0.0000 1
O1 0.1557 0.6250 0.0307 1
O2 0.3750 0.4057 0.5307 1
O3 0.5943 0.1250 0.9693 1
O4 0.8750 0.8443 0.4693 1
# - Space group: No. 122
# - Total magnetization: 0.250 μB/atom
# - Uncorrected formation energy: -1.513 eV per atom
# - V: 27.538 Å³ per atom
# - Electronic total energy: -38.0 eV for the cell shown
# - Mass density: 3.1 g/cm3
# - DOS(E_F): 7.60 states/eV/cell



[3]
# K14Ba2O9 | the Alexandria database | GGA-PBE | optimized geometry
data_K14Ba2O9
_cell_length_a 7.9791
_cell_length_b 7.9791
_cell_length_c 11.0340
_cell_angle_alpha 90.00
_cell_angle_beta 90.00
_cell_angle_gamma 120.00
_space_group_name_H-M_alt 'P 1'
_space_group_IT_number 1
loop_
_space_group_symop_operation_xyz
'x,y,z'
loop_
_atom_site_label
_atom_site_fract_x
_atom_site_fract_y
_atom_site_fract_z
_atom_site_occupancy
K1 0.0000 0.0000 0.2439 1
K2 0.0000 0.0000 0.7561 1
K3 0.0562 0.6941 0.4080 1
K4 0.0709 0.3749 0.0880 1
K5 0.3040 0.9291 0.0880 1
K6 0.3059 0.3621 0.4080 1
K7 0.3621 0.0562 0.5920 1
K8 0.3749 0.3040 0.9120 1
K9 0.6251 0.6960 0.0880 1
K10 0.6379 0.9438 0.4080 1
K11 0.6941 0.6379 0.5920 1
K12 0.6960 0.0709 0.9120 1
K13 0.9291 0.6251 0.9120 1
K14 0.9438 0.3059 0.5920 1
Ba1 0.3333 0.6667 0.7583 1
Ba2 0.6667 0.3333 0.2417 1
O1 0.0000 0.0000 0.5000 1
O2 0.0481 0.3473 0.8399 1
O3 0.2991 0.9519 0.8399 1
O4 0.3333 0.6667 0.5256 1
O5 0.3473 0.2991 0.1601 1
O6 0.6527 0.7009 0.8399 1
O7 0.6667 0.3333 0.4744 1
O8 0.7009 0.0481 0.1601 1
O9 0.9519 0.6527 0.1601 1
# - Space group: No. 147
# - Total magnetization: 0.011 μB/atom
# - Uncorrected formation energy: -1.256 eV per atom
# - V: 24.335 Å³ per atom
# - Electronic total energy: -95.2 eV for the cell shown
# - Mass density: 2.6 g/cm3



[4]
# KBaO3 | the Alexandria database | GGA-PBE | optimized geometry
data_KBaO3
_cell_length_a 4.6840
_cell_length_b 4.6840
_cell_length_c 4.6840
_cell_angle_alpha 90.00
_cell_angle_beta 90.00
_cell_angle_gamma 90.00
_space_group_name_H-M_alt 'P 1'
_space_group_IT_number 1
loop_
_space_group_symop_operation_xyz
'x,y,z'
loop_
_atom_site_label
_atom_site_fract_x
_atom_site_fract_y
_atom_site_fract_z
_atom_site_occupancy
K1 0.0000 0.0000 0.0000 1
Ba1 0.5000 0.5000 0.5000 1
O1 0.0000 0.0000 0.5000 1
O2 0.0000 0.5000 0.0000 1
O3 0.5000 0.0000 0.0000 1
# - Space group: No. 221
# - Total magnetization: 0.600 μB/atom
# - Uncorrected formation energy: -0.628 eV per atom
# - V: 20.553 Å³ per atom
# - Electronic total energy: -21.0 eV for the cell shown
# - Mass density: 3.6 g/cm3
# - DOS(E_F): 4.71 states/eV/cell



[5]
# K2BaO2 | the Alexandria database | GGA-PBE | optimized geometry
data_K2BaO2
_cell_length_a 4.0883
_cell_length_b 4.0883
_cell_length_c 8.2554
_cell_angle_alpha 90.00
_cell_angle_beta 90.00
_cell_angle_gamma 120.00
_space_group_name_H-M_alt 'P 1'
_space_group_IT_number 1
loop_
_space_group_symop_operation_xyz
'x,y,z'
loop_
_atom_site_label
_atom_site_fract_x
_atom_site_fract_y
_atom_site_fract_z
_atom_site_occupancy
K1 0.3333 0.6667 0.1689 1
K2 0.6667 0.3333 0.8311 1
Ba1 0.0000 0.0000 0.5000 1
O1 0.3333 0.6667 0.6892 1
O2 0.6667 0.3333 0.3108 1
# - Space group: No. 164
# - Total magnetization: 0.014 μB/atom
# - Uncorrected formation energy: -1.568 eV per atom
# - V: 23.898 Å³ per atom
# - Electronic total energy: -21.9 eV for the cell shown
# - Mass density: 3.4 g/cm3



[6]
# KBaO | the Alexandria database | GGA-PBE | optimized geometry
data_KBaO
_cell_length_a 3.7720
_cell_length_b 7.5387
_cell_length_c 8.2883
_cell_angle_alpha 63.06
_cell_angle_beta 89.91
_cell_angle_gamma 89.99
_space_group_name_H-M_alt 'P 1'
_space_group_IT_number 1
loop_
_space_group_symop_operation_xyz
'x,y,z'
loop_
_atom_site_label
_atom_site_fract_x
_atom_site_fract_y
_atom_site_fract_z
_atom_site_occupancy
K1 0.0000 0.0000 0.0000 1
K2 0.0054 0.5000 0.9999 1
Ba1 0.5051 0.4658 0.5652 1
Ba2 0.5063 0.9658 0.5653 1
O1 0.0059 0.1776 0.6423 1
O2 0.0059 0.6776 0.6423 1
# - Space group: No. 1
# - Total magnetization: 0.000 μB/atom
# - Uncorrected formation energy: -1.447 eV per atom
# - V: 35.017 Å³ per atom
# - Electronic total energy: -24.6 eV for the cell shown
# - Mass density: 3.0 g/cm3
# - DOS(E_F): 1.78 states/eV/cell



[7]
# K2BaO | the Alexandria database | GGA-PBE | optimized geometry
data_K2BaO
_cell_length_a 8.2505
_cell_length_b 8.2505
_cell_length_c 8.2505
_cell_angle_alpha 120.09
_cell_angle_beta 120.09
_cell_angle_gamma 89.84
_space_group_name_H-M_alt 'P 1'
_space_group_IT_number 1
loop_
_space_group_symop_operation_xyz
'x,y,z'
loop_
_atom_site_label
_atom_site_fract_x
_atom_site_fract_y
_atom_site_fract_z
_atom_site_occupancy
K1 0.0000 0.0000 0.0000 1
K2 0.0000 0.0000 0.5000 1
K3 0.0000 0.5000 0.0000 1
K4 0.5000 0.0000 0.5000 1
Ba1 0.3750 0.6250 0.7500 1
Ba2 0.6250 0.3750 0.2500 1
O1 0.1250 0.8750 0.2500 1
O2 0.8750 0.1250 0.7500 1
# - Space group: No. 141
# - Total magnetization: 0.000 μB/atom
# - Uncorrected formation energy: -0.426 eV per atom
# - V: 49.571 Å³ per atom
# - Electronic total energy: -21.6 eV for the cell shown
# - Mass density: 1.9 g/cm3
# - DOS(E_F): 4.91 states/eV/cell



[8]
# K3BaO3 | the Alexandria database | GGA-PBE | optimized geometry
data_K3BaO3
_cell_length_a 9.6394
_cell_length_b 9.6394
_cell_length_c 9.6394
_cell_angle_alpha 109.47
_cell_angle_beta 109.47
_cell_angle_gamma 109.47
_space_group_name_H-M_alt 'P 1'
_space_group_IT_number 1
loop_
_space_group_symop_operation_xyz
'x,y,z'
loop_
_atom_site_label
_atom_site_fract_x
_atom_site_fract_y
_atom_site_fract_z
_atom_site_occupancy
K1 0.0144 0.0289 0.7644 1
K2 0.0144 0.4856 0.2500 1
K3 0.0289 0.7644 0.0144 1
K4 0.2500 0.0144 0.4856 1
K5 0.2500 0.7356 0.7644 1
K6 0.4711 0.4856 0.7356 1
K7 0.4856 0.2500 0.0144 1
K8 0.4856 0.7356 0.4711 1
K9 0.7356 0.4711 0.4856 1
K10 0.7356 0.7644 0.2500 1
K11 0.7644 0.0144 0.0289 1
K12 0.7644 0.2500 0.7356 1
Ba1 0.0000 0.2500 0.5000 1
Ba2 0.2500 0.2500 0.2500 1
Ba3 0.2500 0.5000 0.0000 1
Ba4 0.5000 0.0000 0.2500 1
O1 0.0038 0.0076 0.2538 1
O2 0.0038 0.4962 0.7500 1
O3 0.0076 0.2538 0.0038 1
O4 0.2462 0.2538 0.7500 1
O5 0.2462 0.4924 0.4962 1
O6 0.2538 0.0038 0.0076 1
O7 0.2538 0.7500 0.2462 1
O8 0.4924 0.4962 0.2462 1
O9 0.4962 0.2462 0.4924 1
O10 0.4962 0.7500 0.0038 1
O11 0.7500 0.0038 0.4962 1
O12 0.7500 0.2462 0.2538 1
# - Space group: No. 214
# - Total magnetization: 0.145 μB/atom
# - Uncorrected formation energy: -1.368 eV per atom
# - V: 24.625 Å³ per atom
# - Electronic total energy: -118.7 eV for the cell shown
# - Mass density: 2.9 g/cm3
# - DOS(E_F): 38.38 states/eV/cell



[9]
# KBaO2 | the Alexandria database | GGA-PBE | optimized geometry
data_KBaO2
_cell_length_a 4.6994
_cell_length_b 4.6994
_cell_length_c 4.6994
_cell_angle_alpha 60.00
_cell_angle_beta 60.00
_cell_angle_gamma 60.00
_space_group_name_H-M_alt 'P 1'
_space_group_IT_number 1
loop_
_space_group_symop_operation_xyz
'x,y,z'
loop_
_atom_site_label
_atom_site_fract_x
_atom_site_fract_y
_atom_site_fract_z
_atom_site_occupancy
K1 0.0000 0.0000 0.0000 1
Ba1 0.5000 0.5000 0.5000 1
O1 0.2500 0.2500 0.2500 1
O2 0.7500 0.7500 0.7500 1
# - Space group: No. 225
# - Total magnetization: 0.250 μB/atom
# - Uncorrected formation energy: -1.484 eV per atom
# - V: 18.347 Å³ per atom
# - Electronic total energy: -18.9 eV for the cell shown
# - Mass density: 4.7 g/cm3
# - DOS(E_F): 7.17 states/eV/cell



[10]
# KBaO2 | the Alexandria database | GGA-PBE | optimized geometry
data_KBaO2
_cell_length_a 7.0741
_cell_length_b 7.0741
_cell_length_c 7.0741
_cell_angle_alpha 32.13
_cell_angle_beta 32.13
_cell_angle_gamma 32.13
_space_group_name_H-M_alt 'P 1'
_space_group_IT_number 1
loop_
_space_group_symop_operation_xyz
'x,y,z'
loop_
_atom_site_label
_atom_site_fract_x
_atom_site_fract_y
_atom_site_fract_z
_atom_site_occupancy
K1 0.0000 0.0000 0.0000 1
Ba1 0.8277 0.8277 0.8277 1
O1 0.2337 0.2337 0.2337 1
O2 0.4217 0.4217 0.4217 1
# - Space group: No. 160
# - Total magnetization: 0.250 μB/atom
# - Uncorrected formation energy: -1.574 eV per atom
# - V: 22.247 Å³ per atom
# - Electronic total energy: -19.2 eV for the cell shown
# - Mass density: 3.9 g/cm3
# - DOS(E_F): 7.38 states/eV/cell



[11]
# K2BaO2 | the Alexandria database | GGA-PBE | optimized geometry
data_K2BaO2
_cell_length_a 7.5941
_cell_length_b 7.5941
_cell_length_c 3.4363
_cell_angle_alpha 90.00
_cell_angle_beta 90.00
_cell_angle_gamma 90.00
_space_group_name_H-M_alt 'P 1'
_space_group_IT_number 1
loop_
_space_group_symop_operation_xyz
'x,y,z'
loop_
_atom_site_label
_atom_site_fract_x
_atom_site_fract_y
_atom_site_fract_z
_atom_site_occupancy
K1 0.1218 0.3782 0.0000 1
K2 0.3782 0.8782 0.0000 1
K3 0.6218 0.1218 0.0000 1
K4 0.8782 0.6218 0.0000 1
Ba1 0.0000 0.0000 0.0000 1
Ba2 0.5000 0.5000 0.0000 1
O1 0.1942 0.6942 0.5000 1
O2 0.3058 0.1942 0.5000 1
O3 0.6942 0.8058 0.5000 1
O4 0.8058 0.3058 0.5000 1
# - Space group: No. 127
# - Total magnetization: 0.000 μB/atom
# - Uncorrected formation energy: -1.011 eV per atom
# - V: 19.817 Å³ per atom
# - Electronic total energy: -38.2 eV for the cell shown
# - Mass density: 4.1 g/cm3
# - DOS(E_F): 0.00 states/eV/cell



[12]
# KBa4O5 | the Alexandria database | GGA-PBE | optimized geometry
data_KBa4O5
_cell_length_a 10.5480
_cell_length_b 10.5480
_cell_length_c 10.5480
_cell_angle_alpha 158.19
_cell_angle_beta 149.94
_cell_angle_gamma 37.45
_space_group_name_H-M_alt 'P 1'
_space_group_IT_number 1
loop_
_space_group_symop_operation_xyz
'x,y,z'
loop_
_atom_site_label
_atom_site_fract_x
_atom_site_fract_y
_atom_site_fract_z
_atom_site_occupancy
K1 0.0000 0.0000 0.0000 1
Ba1 0.1989 0.1989 0.0000 1
Ba2 0.4051 0.4051 0.0000 1
Ba3 0.5949 0.5949 0.0000 1
Ba4 0.8011 0.8011 0.0000 1
O1 0.1120 0.6120 0.5000 1
O2 0.3046 0.8046 0.5000 1
O3 0.5000 0.0000 0.5000 1
O4 0.6954 0.1954 0.5000 1
O5 0.8880 0.3880 0.5000 1
# - Space group: No. 71
# - Total magnetization: 0.114 μB/atom
# - Uncorrected formation energy: -2.149 eV per atom
# - V: 21.815 Å³ per atom
# - Electronic total energy: -55.1 eV for the cell shown
# - Mass density: 5.1 g/cm3
# - DOS(E_F): 11.92 states/eV/cell